# 1
Density functional theory data (SCAN) for a crystal of Tc2NiRu relaxed with PBEsol.

Geometry as extended XYZ:
```
4
Lattice="2.6427 0.0000 0.0000 0.0000 3.7628 0.0000 0.0000 0.0000 5.1990" Properties=species:S:1:pos:R:3 pbc="T T T"
Ru 1.3213 1.8814 2.5995
Ni 1.3213 1.8814 0.0000
Tc 0.0000 0.0000 1.2538
Tc 0.0000 0.0000 3.9452
```

Summary:
Calculated formation energy, eV per formula unit: 0.14
VASP energy, eV/atom: -30.245
Distance to the lowest polymorph of the same formula, eV/atom: 0.094
V, Å³ per atom: 12.9
Magnetic moment, μB/atom: 0.00

# 2
Density functional theory data (SCAN) for a crystal of Ta5Mo3 relaxed with PBEsol.

Geometry as extended XYZ:
```
8
Lattice="5.3308 -0.0123 0.0072 -0.3788 5.3326 -0.0028 -2.4828 -0.7443 4.6758" Properties=species:S:1:pos:R:3 pbc="T T T"
Ta -1.4308 2.2942 2.3365
Ta 2.9332 5.0891 1.2050
Ta -0.4640 -0.5131 3.4752
Mo 2.4760 2.6602 0.0022
Mo 0.9816 1.0830 1.7388
Ta 2.3574 0.6451 4.1061
Ta 0.1119 3.9309 0.5741
Mo 1.4876 3.4930 2.9414
```

Summary:
Calculated formation energy, eV per formula unit: -1.12
VASP energy, eV/atom: -54.837
Distance to the lowest polymorph of the same formula, eV/atom: 0.011
V, Å³ per atom: 16.6
Magnetic moment, μB/atom: 0.00

# 3
Density functional theory data (SCAN) for a crystal of CdTc relaxed with PBEsol.

Geometry as extended XYZ:
```
2
Lattice="3.7863 0.0000 0.0000 1.8932 3.2790 0.0000 1.8932 1.0930 3.0915" Properties=species:S:1:pos:R:3 pbc="T T T"
Cd 0.0000 0.0000 0.0000
Tc 3.7863 2.1860 1.5458
```

Summary:
Calculated formation energy, eV per formula unit: 2.78
VASP energy, eV/atom: -31.349
Distance to the lowest polymorph of the same formula, eV/atom: 1.097
V, Å³ per atom: 19.2
Magnetic moment, μB/atom: 1.18

# 4
Density functional theory data (SCAN) for a crystal of BaRe2Br relaxed with PBEsol.

Geometry as extended XYZ:
```
4
Lattice="3.1655 0.0000 0.0000 0.0000 4.6269 0.0000 0.0000 0.0000 6.3155" Properties=species:S:1:pos:R:3 pbc="T T T"
Re 1.5827 2.3134 0.0000
Br 0.0000 2.3134 3.1577
Re 0.0000 0.0000 0.0000
Ba 1.5827 0.0000 3.1577
```

Summary:
E_form (uncorrected), kJ per mole of atoms: 104.9
VASP energy, eV/atom: -49.214
Distance to the lowest polymorph of the same formula, eV/atom: 0.861
V, Å³ per atom: 23.1
Magnetic moment, μB/atom: 0.35

# 5
Density functional theory data (SCAN) for a crystal of TaTeC3 relaxed with PBEsol.

Geometry as extended XYZ:
```
5
Lattice="4.2096 0.0000 0.0000 0.0000 4.2096 0.0000 0.0000 0.0000 4.2096" Properties=species:S:1:pos:R:3 pbc="T T T"
C 0.0000 2.1048 0.0000
C 2.1048 0.0000 0.0000
Te 2.1048 2.1048 2.1048
Ta 0.0000 0.0000 0.0000
C 0.0000 0.0000 2.1048
```

Summary:
E_form (uncorrected), kJ per mole of atoms: 193.1
VASP energy, eV/atom: -24.825
V, Å³ per atom: 14.9
Magnetic moment, μB/atom: 0.00

# 6
Density functional theory data (SCAN) for a crystal of Sr2YTc relaxed with PBEsol.

Geometry as extended XYZ:
```
4
Lattice="4.5860 0.0000 0.0000 0.0000 4.5860 0.0000 -2.2930 -2.2930 5.2503" Properties=species:S:1:pos:R:3 pbc="T T T"
Sr 0.0000 2.2930 2.6252
Sr 2.2930 0.0000 2.6252
Y 0.0000 0.0000 0.0000
Tc 2.2930 2.2930 0.0000
```

Summary:
Calculated formation energy, eV per formula unit: 3.13
VASP energy, eV/atom: -26.081
Distance to the lowest polymorph of the same formula, eV/atom: 0.095
V, Å³ per atom: 27.6
Magnetic moment, μB/atom: 0.18

# 7
Density functional theory data (SCAN) for a crystal of ZnInAg relaxed with PBEsol.

Geometry as extended XYZ:
```
3
Lattice="-1.3989 -2.4862 0.8045 2.5714 -1.4619 -0.1894 0.5733 3.2440 5.6330" Properties=species:S:1:pos:R:3 pbc="T T T"
Zn 0.9466 -1.5794 2.1536
In 0.7686 0.8417 3.9377
Ag 0.0306 0.0335 0.1569
```

Summary:
Calculated formation energy, eV per formula unit: 0.27
VASP energy, eV/atom: -26.000
V, Å³ per atom: 18.1
Magnetic moment, μB/atom: 0.00

# 8
Density functional theory data (SCAN) for a crystal of Ba2MoH relaxed with PBEsol.

Geometry as extended XYZ:
```
4
Lattice="-5.1617 -0.7193 1.5313 -1.4405 -4.5122 2.6591 -1.3334 0.2556 5.2595" Properties=species:S:1:pos:R:3 pbc="T T T"
Ba -5.9517 -3.7319 7.0874
H 0.0000 0.0000 0.0000
Ba -1.9839 -1.2440 2.3625
Mo -3.9678 -2.4880 4.7249
```

Summary:
VASP energy, eV/atom: -28.371
V, Å³ per atom: 28.3
Magnetic moment, μB/atom: 0.83

# 9
Density functional theory data (SCAN) for a crystal of NdAlSi relaxed with PBEsol.

Geometry as extended XYZ:
```
6
Lattice="-1.6882 1.2494 3.6075 -3.5754 -1.9006 -1.0149 4.9608 -5.7640 1.9027" Properties=species:S:1:pos:R:3 pbc="T T T"
Si -1.0804 -4.3820 3.4272
Al 1.1000 -4.4585 4.4741
Si -1.4009 -1.9619 0.0240
Nd -0.8380 0.6088 1.8122
Al -1.8522 -2.3640 2.3671
Nd 1.1706 -3.0607 1.6079
```

Summary:
E_form (uncorrected), kJ per mole of atoms: -69.8
VASP energy, eV/atom: -21.173
V, Å³ per atom: 21.1
Magnetic moment, μB/atom: 0.00

# 10
Density functional theory data (SCAN) for a crystal of CoPb2Cl relaxed with PBEsol.

Geometry as extended XYZ:
```
4
Lattice="3.1292 0.0000 0.0000 0.0000 5.1851 0.0366 0.0000 -0.0418 5.1851" Properties=species:S:1:pos:R:3 pbc="T T T"
Cl 1.5646 0.0000 0.0000
Co 1.5646 2.5717 2.6109
Pb 0.0000 2.5926 0.0183
Pb 0.0000 -0.0209 2.5925
```

Summary:
E_form (uncorrected), kJ per mole of atoms: 11.7
VASP energy, eV/atom: -44.090
Distance to the lowest polymorph of the same formula, eV/atom: 0.000
V, Å³ per atom: 21.0
Magnetic moment, μB/atom: 0.45

# 11
Density functional theory data (SCAN) for a crystal of TcNi2Pt relaxed with PBEsol.

Geometry as extended XYZ:
```
4
Lattice="3.6102 0.0000 0.0000 0.0000 3.6102 0.0000 -1.8051 -1.8051 3.7918" Properties=species:S:1:pos:R:3 pbc="T T T"
Pt 0.0000 0.0000 0.0000
Ni 1.8051 0.0000 1.8959
Tc 0.0000 1.8051 1.8959
Ni 1.8051 1.8051 0.0000
```

Summary:
Calculated formation energy, eV per formula unit: -0.35
VASP energy, eV/atom: -34.488
Distance to the lowest polymorph of the same formula, eV/atom: 0.000
V, Å³ per atom: 12.4
Magnetic moment, μB/atom: 0.00

# 12
Density functional theory data (SCAN) for a crystal of NbCu2Au relaxed with PBEsol.

Geometry as extended XYZ:
```
4
Lattice="-2.5276 2.5589 2.3698 -1.2310 -1.2376 3.9377 1.5946 1.9805 3.4767" Properties=species:S:1:pos:R:3 pbc="T T T"
Cu -1.6230 2.4764 7.3382
Cu -0.5410 0.8255 2.4461
Au -1.0820 1.6509 4.8921
Nb 0.0000 0.0000 0.0000
```

Summary:
Calculated formation energy, eV per formula unit: -0.21
VASP energy, eV/atom: -33.225
V, Å³ per atom: 14.1
Magnetic moment, μB/atom: 0.00

# 13
Density functional theory data (SCAN) for a crystal of KCu2Pd relaxed with PBEsol.

Geometry as extended XYZ:
```
4
Lattice="-1.8282 3.4595 -2.3514 -4.1668 1.5323 1.0627 -0.4949 4.0887 1.9690" Properties=species:S:1:pos:R:3 pbc="T T T"
Cu -1.6225 2.2701 0.1701
K 0.0000 0.0000 0.0000
Pd -3.2449 4.5403 0.3401
Cu -4.8674 6.8104 0.5102
```

Summary:
Calculated formation energy, eV per formula unit: 2.34
VASP energy, eV/atom: -17.290
V, Å³ per atom: 16.8
Magnetic moment, μB/atom: 0.00

# 14
Density functional theory data (SCAN) for a crystal of CsAgF2 relaxed with PBEsol.

Geometry as extended XYZ:
```
8
Lattice="-4.5770 -0.2158 2.9387 2.8746 -1.5199 4.3655 1.6194 7.0645 -2.0005" Properties=species:S:1:pos:R:3 pbc="T T T"
Ag -1.9044 2.9904 2.2951
Cs 0.0000 0.0000 0.0000
F 1.2611 4.9442 -0.1934
F 0.7907 0.3358 4.6869
F -0.1088 4.3507 2.6708
Ag -0.8512 -0.8679 3.6521
Cs 1.8214 2.3383 3.0085
F -2.1090 1.0268 3.4431
```

Summary:
E_form (uncorrected), kJ per mole of atoms: -180.5
VASP energy, eV/atom: -20.935
Distance to the lowest polymorph of the same formula, eV/atom: 0.027
V, Å³ per atom: 23.9
Magnetic moment, μB/atom: 0.00

# 15
Density functional theory data (SCAN) for a crystal of LaPdS2N relaxed with PBEsol.

Geometry as extended XYZ:
```
5
Lattice="-1.6196 0.3198 -3.7505 4.7886 -1.4612 -2.1924 -1.5085 -5.2493 0.2038" Properties=species:S:1:pos:R:3 pbc="T T T"
Pd 0.8302 -3.1954 -2.8696
S -0.7542 -2.6247 0.1019
La 0.0000 0.0000 0.0000
S 2.3943 -0.7306 -1.0962
N -0.8098 0.1599 -1.8753
```

Summary:
E_form (uncorrected), kJ per mole of atoms: 57.0
VASP energy, eV/atom: -20.295
V, Å³ per atom: 24.5
Magnetic moment, μB/atom: 0.60

# 16
Density functional theory data (SCAN) for a crystal of Hf3CrCo relaxed with PBEsol.

Geometry as extended XYZ:
```
5
Lattice="4.6978 0.0000 0.0000 0.0000 4.6978 0.0000 0.0000 0.0000 4.6978" Properties=species:S:1:pos:R:3 pbc="T T T"
Co 0.0000 0.0000 0.0000
Hf 0.0000 2.3489 0.0000
Hf 0.0000 0.0000 2.3489
Cr 2.3489 2.3489 2.3489
Hf 2.3489 0.0000 0.0000
```

Summary:
Calculated formation energy, eV per formula unit: 1.74
VASP energy, eV/atom: -44.394
V, Å³ per atom: 20.7
Magnetic moment, μB/atom: 0.88

# 17
Density functional theory data (SCAN) for a crystal of BeCrRe2Se relaxed with PBEsol.

Geometry as extended XYZ:
```
5
Lattice="3.9642 0.0000 0.0000 0.0000 4.4511 0.0000 0.0000 0.0000 4.4511" Properties=species:S:1:pos:R:3 pbc="T T T"
Cr 0.0000 0.0000 0.0000
Se 1.9821 2.2255 2.2255
Be 1.9821 0.0000 0.0000
Re 0.0000 0.0000 2.2255
Re 0.0000 2.2255 0.0000
```

Summary:
E_form (uncorrected), kJ per mole of atoms: 152.8
VASP energy, eV/atom: -35.419
V, Å³ per atom: 15.7
Magnetic moment, μB/atom: 0.00

# 18
Density functional theory data (SCAN) for a crystal of Mn3SbP relaxed with PBEsol.

Geometry as extended XYZ:
```
5
Lattice="4.2971 0.0000 0.0000 0.0000 4.2971 0.0000 0.0000 0.0000 4.2971" Properties=species:S:1:pos:R:3 pbc="T T T"
P 0.0000 0.0000 0.0000
Mn 0.0000 0.0000 2.1485
Mn 0.0000 2.1485 0.0000
Mn 2.1485 0.0000 0.0000
Sb 2.1485 2.1485 2.1485
```

Summary:
E_form (uncorrected), kJ per mole of atoms: 0.1
VASP energy, eV/atom: -20.484
V, Å³ per atom: 15.9
Magnetic moment, μB/atom: 1.89

# 19
Density functional theory data (SCAN) for a crystal of Y2ZrIn relaxed with PBEsol.

Geometry as extended XYZ:
```
4
Lattice="3.4168 0.0000 0.0000 0.0000 3.4168 0.0000 0.0000 0.0000 8.8593" Properties=species:S:1:pos:R:3 pbc="T T T"
Y 0.0000 0.0000 2.2697
Y 0.0000 0.0000 6.5896
Zr 1.7084 1.7084 0.0000
In 1.7084 1.7084 4.4297
```

Summary:
Calculated formation energy, eV per formula unit: -1.06
VASP energy, eV/atom: -30.209
V, Å³ per atom: 25.9
Magnetic moment, μB/atom: 0.00

# 20
Density functional theory data (SCAN) for a crystal of Ni4Mo relaxed with PBEsol.

Geometry as extended XYZ:
```
5
Lattice="3.5086 0.0000 0.0000 1.7543 3.9943 0.0000 1.7543 0.0000 3.9943" Properties=species:S:1:pos:R:3 pbc="T T T"
Ni 1.7543 1.6001 0.8056
Ni 3.5086 0.8056 2.3942
Ni 5.2630 2.3942 3.1887
Ni 3.5086 3.1887 1.6001
Mo 0.0000 0.0000 0.0000
```

Summary:
Calculated formation energy, eV per formula unit: -0.13
VASP energy, eV/atom: -19.942
V, Å³ per atom: 11.2
Magnetic moment, μB/atom: 0.00

# 21
Density functional theory data (SCAN) for a crystal of AgTeAu relaxed with PBEsol.

Geometry as extended XYZ:
```
3
Lattice="-2.8705 0.1935 0.6855 1.0341 -1.1548 4.6560 -0.0215 4.6985 -1.4159" Properties=species:S:1:pos:R:3 pbc="T T T"
Au -1.1049 2.8441 0.9508
Te -0.7530 0.8930 2.9748
Ag 0.0000 0.0000 0.0000
```

Summary:
E_form (uncorrected), kJ per mole of atoms: 13.8
VASP energy, eV/atom: -45.782
V, Å³ per atom: 20.6
Magnetic moment, μB/atom: 0.00

# 22
Density functional theory data (SCAN) for a crystal of La3Sc relaxed with PBEsol.

Geometry as extended XYZ:
```
4
Lattice="-0.7982 3.2742 -1.1383 -4.1813 -2.1699 -3.3094 -3.9635 0.6310 4.5941" Properties=species:S:1:pos:R:3 pbc="T T T"
La -0.0433 0.0069 0.0502
Sc -3.3919 -0.8778 -0.1464
La -5.7984 1.0789 1.6112
La -2.3517 1.9479 1.6941
```

Summary:
Calculated formation energy, eV per formula unit: 0.26
VASP energy, eV/atom: -35.822
V, Å³ per atom: 31.2
Magnetic moment, μB/atom: 0.02

# 23
Density functional theory data (SCAN) for a crystal of CsGaBi3 relaxed with PBEsol.

Geometry as extended XYZ:
```
5
Lattice="5.6133 0.0000 0.0000 0.0000 5.6133 0.0000 0.0000 0.0000 5.6133" Properties=species:S:1:pos:R:3 pbc="T T T"
Bi 0.0000 2.8066 0.0000
Ga 0.0000 0.0000 0.0000
Cs 2.8066 2.8066 2.8066
Bi 2.8066 0.0000 0.0000
Bi 0.0000 0.0000 2.8066
```

Summary:
Calculated formation energy, eV per formula unit: 0.69
VASP energy, eV/atom: -57.841
V, Å³ per atom: 35.4
Magnetic moment, μB/atom: 0.00

# 24
Density functional theory data (SCAN) for a crystal of SrTl2Br relaxed with PBEsol.

Geometry as extended XYZ:
```
4
Lattice="3.8141 0.0390 0.0000 -1.4189 3.5405 0.0000 0.0000 0.0000 9.6429" Properties=species:S:1:pos:R:3 pbc="T T T"
Tl 0.0000 0.0000 2.6355
Br 1.1976 1.7898 4.8214
Tl 0.0000 0.0000 7.0073
Sr 1.1976 1.7898 0.0000
```

Summary:
E_form (uncorrected), kJ per mole of atoms: -32.0
VASP energy, eV/atom: -46.944
Distance to the lowest polymorph of the same formula, eV/atom: 0.469
V, Å³ per atom: 32.7
Magnetic moment, μB/atom: 0.00

# 25
Density functional theory data (SCAN) for a crystal of Sr5Zr3F22 relaxed with PBEsol.

Geometry as extended XYZ:
```
60
Lattice="7.5987 0.0000 0.0000 0.0000 10.2637 0.0000 0.0000 0.0000 10.2776" Properties=species:S:1:pos:R:3 pbc="T T T"
F 1.9740 0.7748 6.7081
F 3.1271 3.8076 9.1423
Zr 5.7257 2.3232 2.1792
F 0.6887 3.0085 6.2763
Sr 1.7871 7.6528 7.2504
F 5.9705 5.4005 4.0330
Zr 5.6723 7.9405 7.3180
F 4.3011 6.5171 6.7028
Sr 0.0000 10.0786 0.0000
F 3.7207 8.9834 3.0641
F 1.6434 1.7387 10.1096
F 3.8780 8.9834 7.2135
Sr 0.0000 0.6350 5.1388
F 7.0969 3.7466 1.5640
F 2.1559 8.5251 4.9708
Sr 5.8115 7.6528 3.0272
F 1.6195 4.0970 4.0237
F 7.1210 7.2498 8.6506
Sr 3.7993 0.1851 5.1388
F 0.0787 1.2803 8.2029
F 1.7945 9.0992 9.1100
F 3.1107 7.2552 1.1375
F 7.5200 1.2803 2.0747
F 5.5939 1.1645 6.3064
F 2.1799 6.1667 9.1625
F 1.8254 9.4889 1.5693
F 5.7733 9.4889 8.7083
F 3.5896 1.2758 8.6611
F 4.4716 3.8076 1.1353
F 0.6723 6.4562 4.0035
F 5.6247 0.7748 3.5695
Zr 1.8730 2.3232 8.0984
F 5.4188 6.1667 1.1151
F 4.2770 3.0139 3.5118
Sr 0.0000 5.5292 0.0000
Sr 2.0122 2.6109 2.1116
F 4.0090 1.2758 1.6165
F 5.4427 8.5251 5.3068
F 3.3217 3.0139 6.7658
Zr 3.7993 5.5306 0.0000
Zr 1.9264 7.9405 2.9596
Sr 3.7993 9.6287 0.0000
F 5.4275 4.8632 9.1718
Zr 0.0000 4.7331 5.1388
F 5.9792 4.0970 6.2539
F 5.9553 1.7387 0.1680
F 0.5018 3.7466 8.7136
F 1.6281 5.4005 6.2446
F 2.0048 1.1645 3.9712
F 0.2097 8.9879 3.5223
Sr 5.5865 2.6109 8.1660
F 7.3890 8.9879 6.7553
F 3.2975 6.5171 3.5748
F 5.8041 9.0992 1.1676
F 0.4776 7.2498 1.6270
Sr 3.7993 4.7345 5.1388
F 2.1712 4.8632 1.1058
F 4.4880 7.2552 9.1401
F 6.9264 6.4562 6.2741
F 6.9100 3.0085 4.0013
```

Summary:
E_form (uncorrected), kJ per mole of atoms: -400.5
VASP energy, eV/atom: -13.529
V, Å³ per atom: 13.4
Magnetic moment, μB/atom: 0.01

# 26
Density functional theory data (SCAN) for a crystal of Cr3HgW relaxed with PBEsol.

Geometry as extended XYZ:
```
5
Lattice="-1.7070 -2.5004 3.4962 3.2572 -3.2070 -0.7033 2.8046 2.2028 2.9447" Properties=species:S:1:pos:R:3 pbc="T T T"
Cr 1.4023 1.1014 1.4723
Hg 2.1774 -1.7523 2.8688
Cr 1.6286 -1.6035 -0.3516
W 0.0000 0.0000 0.0000
Cr -0.8535 -1.2502 1.7481
```

Summary:
Calculated formation energy, eV per formula unit: 6.51
VASP energy, eV/atom: -37.300
V, Å³ per atom: 19.8
Magnetic moment, μB/atom: 1.74